DFT (PBE-GGA) results for a geometry-optimized PuNpP2 structure.

Computed properties:
Space group: No. 160
Magnetization, μB per formula unit: 9.0
ΔE_f, eV per atom: -0.86
E above lowest polymorph, meV per atom: 106
Energy, eV/cell: -41.6

Cell and atoms, written as CIF:
```
data_PuNpP2
_space_group_name_H-M_alt 'P 1'
_space_group_IT_number 1
_cell_length_a 7.245
_cell_length_b 7.245
_cell_length_c 7.245
_cell_angle_alpha 31.20
_cell_angle_beta 31.20
_cell_angle_gamma 31.20
loop_
_space_group_symop_operation_xyz
'x,y,z'
loop_
_atom_site_label
_atom_site_type_symbol
_atom_site_fract_x
_atom_site_fract_y
_atom_site_fract_z
_atom_site_occupancy
Pu1 Pu 0.000 0.000 0.000 1
Np1 Np 0.170 0.170 0.170 1
P1 P 0.418 0.418 0.418 1
P2 P 0.586 0.586 0.586 1
```